CsReB2O6 | PBE | optimized geometry

Unit cell a=7.5496 b=3.7589 c=9.6934 alpha=90.00 beta=90.00 gamma=90.00
Space group Pmn2_1 (No. 31)
Unique sites:
Cs  0.0000  0.0347  0.0000 [2 per cell]
Re  0.0000  0.4202  0.3942 [2 per cell]
B  0.1652  0.5112  0.6791 [4 per cell]
O  0.0000  0.5340  0.7448 [2 per cell]
O  0.0000  0.9204  0.3938 [2 per cell]
O  0.1815  0.4259  0.5428 [4 per cell]
O  0.1876  0.4160  0.2524 [4 per cell]

## Properties
Crystal system: orthorhombic
E, eV per atom: -7.657